(1)
This record from Alexandria via LeMat-Bulk describes crystalline BeZn2Cu2 at its relaxed geometry. The functional is GGA-PBE.

Cell: 6.6741 6.6741 2.9230 Å, 90.00 90.00 90.00°
With the nearest neighbours (Å) after each atom.
Fractional coordinates of all 10 atoms:
Be (0.0000, 0.0000, 0.0000)  4 Zn 2.58
Be (0.5000, 0.5000, 0.0000)  4 Zn 2.58
Zn (0.1389, 0.3611, 0.0000)  6 Cu 2.39-2.48, 2 Be 2.58, 1 Zn 2.62
Zn (0.3611, 0.8611, 0.0000)  6 Cu 2.39-2.48, 2 Be 2.58, 1 Zn 2.62
Zn (0.6389, 0.1389, 0.0000)  6 Cu 2.39-2.48, 2 Be 2.58, 1 Zn 2.62
Zn (0.8611, 0.6389, 0.0000)  6 Cu 2.39-2.48, 2 Be 2.58, 1 Zn 2.62
Cu (0.1611, 0.6611, 0.5000)  6 Zn 2.39-2.48
Cu (0.3389, 0.1611, 0.5000)  6 Zn 2.39-2.48
Cu (0.6611, 0.8389, 0.5000)  6 Zn 2.39-2.48
Cu (0.8389, 0.3389, 0.5000)  6 Zn 2.39-2.48

Results
As for the energy relative to the elements: 0.18 eV/atom. Its crystal system is tetragonal. The density of states at the Fermi level comes out at 0.107 states/eV per atom. The calculation puts the total magnetic moment at 0.000 μB per cell.

***

(2)
This record from Alexandria via LeMat-Bulk describes crystalline BeZnCu3 at its relaxed geometry. The functional is GGA-PBE.

Cell: 4.3864 4.3864 4.3864 Å, 90.00 90.00 90.00°
With the nearest neighbours (Å) after each atom.
Fractional coordinates of all 5 atoms:
Be (0.0000, 0.0000, 0.0000)  12 Cu 3.10
Zn (0.5000, 0.5000, 0.5000)  6 Cu 2.19
Cu (0.0000, 0.5000, 0.5000)  2 Zn 2.19
Cu (0.5000, 0.0000, 0.5000)  2 Zn 2.19
Cu (0.5000, 0.5000, 0.0000)  2 Zn 2.19

Results
As for the energy relative to the elements: 1.02 eV/atom. Its crystal system is cubic. The density of states at the Fermi level comes out at 0.346 states/eV per atom. The calculation puts the total magnetic moment at 0.000 μB per cell.

***

(3)
This record from Alexandria via LeMat-Bulk describes crystalline BeZn3Cu12 at its relaxed geometry. The functional is GGA-PBE.

Cell: 3.6660 3.6660 14.3631 Å, 90.00 90.00 90.00°
With the nearest neighbours (Å) after each atom.
Fractional coordinates of all 16 atoms:
Be (0.0000, 0.0000, 0.0000)  12 Cu 2.47-2.59
Zn (0.0000, 0.0000, 0.2434)  12 Cu 2.59-2.60
Zn (0.0000, 0.0000, 0.5000)  12 Cu 2.59-2.60
Zn (0.0000, 0.0000, 0.7566)  12 Cu 2.59-2.60
Cu (0.0000, 0.5000, 0.1152)  8 Cu 2.47-2.60, 2 Be 2.47, 2 Zn 2.60
Cu (0.0000, 0.5000, 0.3717)  8 Cu 2.59-2.60, 4 Zn 2.60
Cu (0.0000, 0.5000, 0.6283)  8 Cu 2.59-2.60, 4 Zn 2.60
Cu (0.0000, 0.5000, 0.8848)  8 Cu 2.47-2.60, 2 Be 2.47, 2 Zn 2.60
Cu (0.5000, 0.0000, 0.1152)  8 Cu 2.47-2.60, 2 Be 2.47, 2 Zn 2.60
Cu (0.5000, 0.0000, 0.3717)  8 Cu 2.59-2.60, 4 Zn 2.60
Cu (0.5000, 0.0000, 0.6283)  8 Cu 2.59-2.60, 4 Zn 2.60
Cu (0.5000, 0.0000, 0.8848)  8 Cu 2.47-2.60, 2 Be 2.47, 2 Zn 2.60
Cu (0.5000, 0.5000, 0.0000)  8 Cu 2.47, 4 Be 2.59
Cu (0.5000, 0.5000, 0.2435)  4 Zn 2.59, 8 Cu 2.60
Cu (0.5000, 0.5000, 0.5000)  4 Zn 2.59, 8 Cu 2.60
Cu (0.5000, 0.5000, 0.7565)  4 Zn 2.59, 8 Cu 2.60

Results
As for the energy relative to the elements: -0.05 eV/atom. Its crystal system is tetragonal. The density of states at the Fermi level comes out at 0.302 states/eV per atom. The calculation puts the total magnetic moment at 0.000 μB per cell.

***

(4)
This record from Alexandria via LeMat-Bulk describes crystalline Be2ZnCu6 at its relaxed geometry. The functional is GGA-PBE.

Cell: 4.5639 4.5639 7.3523 Å, 117.41 117.41 50.72°
With the nearest neighbours (Å) after each atom.
Fractional coordinates of all 9 atoms:
Be (0.1774, 0.1774, 0.2490)  6 Cu 2.32-2.41, 2 Zn 2.57
Be (0.8226, 0.8226, 0.7510)  6 Cu 2.32-2.41, 2 Zn 2.57
Zn (0.5000, 0.5000, 0.0000)  8 Cu 2.47-2.60, 4 Be 2.57
Cu (0.1516, 0.1516, 0.9080)  2 Be 2.35-2.41, 5 Cu 2.46-2.62, 3 Zn 2.59-2.60
Cu (0.1740, 0.1740, 0.5654)  3 Be 2.34, 5 Cu 2.48-2.62
Cu (0.4883, 0.4883, 0.3295)  1 Be 2.32, 6 Cu 2.41-2.54, 1 Zn 2.47
Cu (0.5117, 0.5117, 0.6705)  1 Be 2.32, 6 Cu 2.41-2.54, 1 Zn 2.47
Cu (0.8260, 0.8260, 0.4346)  3 Be 2.34, 5 Cu 2.48-2.62
Cu (0.8484, 0.8484, 0.0920)  2 Be 2.35-2.41, 5 Cu 2.46-2.62, 3 Zn 2.59-2.60

Results
As for the energy relative to the elements: -0.01 eV/atom. Its crystal system is monoclinic. The density of states at the Fermi level comes out at 0.247 states/eV per atom. The calculation puts the total magnetic moment at 0.000 μB per cell.